No. 1
# Re2Sb4O13 (GGA-PBE, relaxed)
# - crystal system = triclinic
# - space group = P-1
# - E_tot (hartree per atom) = -0.25871
data_Re2Sb4O13
_chemical_formula_sum 'Re4 Sb8 O26'
_space_group_name_H-M_alt 'P 1'
_space_group_IT_number 1
_space_group_name_Hall 'P 1'
_cell_length_a 7.957
_cell_length_b 9.627
_cell_length_c 10.166
_cell_angle_alpha 72.95
_cell_angle_beta 68.59
_cell_angle_gamma 68.09
loop_
_atom_site_label
_atom_site_fract_x
_atom_site_fract_y
_atom_site_fract_z
O1 0.913 0.914 0.997
O2 0.833 0.514 0.332
O3 0.846 0.978 0.292
O4 0.154 0.022 0.708
O5 0.556 0.636 0.731
O6 0.573 0.984 0.594
O7 0.069 0.204 0.402
O8 0.167 0.486 0.668
O9 0.364 0.135 0.102
O10 0.338 0.723 0.507
O11 0.876 0.283 0.194
O12 0.444 0.364 0.269
O13 0.427 0.016 0.406
O14 0.087 0.086 0.003
O15 0.782 0.433 0.914
O16 0.662 0.277 0.493
O17 0.528 0.329 0.853
O18 0.218 0.567 0.086
O19 0.124 0.717 0.806
O20 0.390 0.135 0.792
O21 0.610 0.865 0.208
O22 0.636 0.865 0.898
O23 0.141 0.621 0.366
O24 0.859 0.379 0.634
O25 0.931 0.796 0.598
O26 0.472 0.671 0.147
Sb1 0.196 0.894 0.892
Sb2 0.675 0.031 0.731
Sb3 0.316 0.149 0.572
Sb4 0.804 0.106 0.108
Sb5 0.684 0.851 0.428
Sb6 0.231 0.254 0.954
Sb7 0.769 0.746 0.046
Sb8 0.325 0.969 0.269
Re1 0.858 0.321 0.360
Re2 0.680 0.446 0.783
Re3 0.320 0.554 0.217
Re4 0.142 0.679 0.640

---

No. 2
# Sc2BAs (GGA-PBE, relaxed)
# - ΔE to the lowest computed polymorph (eV per atom) = 0.124
# - crystal system = cubic
# - space group = Fm-3m
# - E_tot (hartree per atom) = -0.22764
# - formation energy from the elements (eV per formula unit) = -0.79
data_Sc2BAs
_chemical_formula_sum 'Sc2 B1 As1'
_space_group_name_H-M_alt 'P 1'
_space_group_IT_number 1
_space_group_name_Hall 'P 1'
_cell_length_a 4.547
_cell_length_b 4.547
_cell_length_c 4.547
_cell_angle_alpha 60.00
_cell_angle_beta 60.00
_cell_angle_gamma 60.00
loop_
_atom_site_label
_atom_site_fract_x
_atom_site_fract_y
_atom_site_fract_z
B1 0.000 0.000 0.000
Sc1 0.750 0.750 0.750
Sc2 0.250 0.250 0.250
As1 0.500 0.500 0.500

---

No. 3
# Co2RuBr (GGA-PBE, relaxed)
# - ΔE to the lowest computed polymorph (eV per atom) = 0.242
# - crystal system = orthorhombic
# - space group = Cmmm
# - E_tot (hartree per atom) = -0.20294
data_Co2RuBr
_chemical_formula_sum 'Co2 Ru1 Br1'
_space_group_name_H-M_alt 'P 1'
_space_group_IT_number 1
_space_group_name_Hall 'P 1'
_cell_length_a 2.910
_cell_length_b 2.910
_cell_length_c 7.969
_cell_angle_alpha 90.00
_cell_angle_beta 90.00
_cell_angle_gamma 113.53
loop_
_atom_site_label
_atom_site_fract_x
_atom_site_fract_y
_atom_site_fract_z
Co1 0.000 0.000 0.018
Co2 0.000 0.000 0.482
Ru1 0.500 0.500 0.250
Br1 0.500 0.500 0.750

---

No. 4
# BaHg4Pb3 (GGA-PBE, relaxed)
# - crystal system = trigonal
# - space group = R-3m
# - E_tot (hartree per atom) = -0.07318
# - formation energy from the elements (eV per formula unit) = -1.68
data_BaHg4Pb3
_chemical_formula_sum 'Ba1 Hg4 Pb3'
_space_group_name_H-M_alt 'P 1'
_space_group_IT_number 1
_space_group_name_Hall 'P 1'
_cell_length_a 5.417
_cell_length_b 5.417
_cell_length_c 10.052
_cell_angle_alpha 74.37
_cell_angle_beta 74.37
_cell_angle_gamma 60.00
loop_
_atom_site_label
_atom_site_fract_x
_atom_site_fract_y
_atom_site_fract_z
Hg1 0.387 0.387 0.839
Hg2 0.874 0.874 0.379
Hg3 0.613 0.613 0.161
Hg4 0.126 0.126 0.621
Ba1 0.000 0.000 0.000
Pb1 0.761 0.761 0.717
Pb2 0.500 0.500 0.500
Pb3 0.239 0.239 0.283

---

No. 5
# ReAsPt2 (GGA-PBE, relaxed)
# - crystal system = trigonal
# - space group = R3m
# - E_tot (hartree per atom) = -0.26457
# - formation energy from the elements (eV per formula unit) = 0.38
data_ReAsPt2
_chemical_formula_sum 'Re1 As1 Pt2'
_space_group_name_H-M_alt 'P 1'
_space_group_IT_number 1
_space_group_name_Hall 'P 1'
_cell_length_a 8.953
_cell_length_b 8.953
_cell_length_c 8.953
_cell_angle_alpha 18.45
_cell_angle_beta 18.45
_cell_angle_gamma 18.45
loop_
_atom_site_label
_atom_site_fract_x
_atom_site_fract_y
_atom_site_fract_z
Re1 0.497 0.497 0.497
As1 0.755 0.755 0.755
Pt1 0.246 0.246 0.246
Pt2 0.002 0.002 0.002

---

No. 6
# BaSr3P (GGA-PBE, relaxed)
# - ΔE to the lowest computed polymorph (eV per atom) = 0.040
# - crystal system = cubic
# - space group = Pm-3m
# - E_tot (hartree per atom) = -0.10706
# - formation energy from the elements (eV per formula unit) = -2.19
data_BaSr3P
_chemical_formula_sum 'Ba1 Sr3 P1'
_space_group_name_H-M_alt 'P 1'
_space_group_IT_number 1
_space_group_name_Hall 'P 1'
_cell_length_a 6.134
_cell_length_b 6.134
_cell_length_c 6.134
_cell_angle_alpha 90.00
_cell_angle_beta 90.00
_cell_angle_gamma 90.00
loop_
_atom_site_label
_atom_site_fract_x
_atom_site_fract_y
_atom_site_fract_z
P1 0.000 0.000 0.000
Sr1 0.000 0.500 0.000
Sr2 0.500 0.000 0.000
Sr3 0.000 0.000 0.500
Ba1 0.500 0.500 0.500